(1)
Compound: Sr2FeBrO3
Source: Alexandria
Functional: PBEsol
Structure: optimized geometry

The structure belongs to space group P4/nmm (No. 129, origin choice 2); the cell edges are 3.881, 3.881 and 15.362 Å and the angles 90.00°, 90.00° and 90.00°. The distinct sites, in fractional coordinates, are Sr at (0.250, 0.250, 0.090), Sr at (0.250, 0.250, 0.319), Fe at (0.250, 0.250, 0.806), Br at (0.250, 0.250, 0.588), O at (0.250, 0.250, 0.930) and O at (0.250, 0.750, 0.213).

For the total energy, the calculation gives -6.518 eV/atom. Its volume is 231 Å³/cell. Its theoretical density is 5.152 g/cm³. The value obtained for the formation energy without anion corrections is -2.195 eV per atom. As for the density of states at the Fermi level: 3.6 states/eV per cell.

(2)
Compound: In2NiPt
Source: Alexandria
Functional: PBEsol
Structure: optimized geometry

The structure belongs to space group C2/m (No. 12); the cell edges are 8.527, 3.064 and 5.267 Å and the angles 90.00°, 102.24° and 90.00°. The distinct sites, in fractional coordinates, are In at (0.245, 0.000, 0.240), Ni at (0.000, 0.500, 0.000) and Pt at (0.000, 0.000, 0.500).

For the total energy, the calculation gives -4.882 eV/atom. Its volume is 134 Å³/cell. The formation energy is -10.68 kJ per mole of atoms. Its theoretical density is 11.939 g/cm³. As for the density of states at the Fermi level: 2.8 states/eV per cell.

(3)
Compound: Zr5Sn3N
Source: Alexandria
Functional: PBEsol
Structure: optimized geometry

The structure belongs to space group P6_3/mcm (No. 193); the cell edges are 8.3775, 8.3775 and 5.7255 Å and the angles 90.00°, 90.00° and 120.00°. The distinct sites, in fractional coordinates, are Zr at (0.0000, 0.2202, 0.2500), Zr at (0.3333, 0.6667, 0.0000), Sn at (0.0000, 0.4056, 0.7500) and N at (0.0000, 0.0000, 0.0000).

For the total energy, the calculation gives -8.386 eV/atom. Its volume is 348 Å³/cell. Its theoretical density is 7.885 g/cm³. The value obtained for the formation energy without anion corrections is -0.969 eV per atom. As for the density of states at the Fermi level: 11.2 states/eV per cell.

(4)
Compound: TaRu
Source: Alexandria
Functional: PBEsol
Structure: optimized geometry

The structure belongs to space group R-3m (No. 166, hexagonal axes); the cell edges are 2.9349, 2.9349 and 25.6411 Å and the angles 90.00°, 90.00° and 120.00°. The distinct sites, in fractional coordinates, are Ta at (0.0000, 0.0000, 0.1215) and Ru at (0.0000, 0.0000, 0.3762).

For the total energy, the calculation gives -11.190 eV/atom. Its volume is 191 Å³/cell. The formation energy is 16.53 kJ per mole of atoms. Its theoretical density is 14.690 g/cm³. As for the density of states at the Fermi level: 11.9 states/eV per cell.

(5)
Compound: TiTeCl3
Source: Alexandria
Functional: PBEsol
Structure: optimized geometry

The structure belongs to space group Pm-3m (No. 221); the cell edges are 4.853, 4.853 and 4.853 Å and the angles 90.00°, 90.00° and 90.00°. The distinct sites, in fractional coordinates, are Ti at (0.000, 0.000, 0.000), Te at (0.500, 0.500, 0.500) and Cl at (0.000, 0.000, 0.500).

For the total energy, the calculation gives -4.215 eV/atom. Its volume is 114 Å³/cell. Its theoretical density is 4.095 g/cm³. The value obtained for the formation energy without anion corrections is -0.640 eV per atom. As for the density of states at the Fermi level: 3.7 states/eV per cell.

(6)
Compound: SrTaNi2
Source: Alexandria
Functional: PBEsol
Structure: optimized geometry

The structure belongs to space group R-3m (No. 166, hexagonal axes); the cell edges are 4.1948, 4.1948 and 16.1429 Å and the angles 90.00°, 90.00° and 120.00°. The distinct sites, in fractional coordinates, are Sr at (0.0000, 0.0000, 0.0000), Ta at (0.0000, 0.0000, 0.5000) and Ni at (0.0000, 0.0000, 0.1936).

For the total energy, the calculation gives -6.598 eV/atom. Its volume is 246 Å³/cell. The formation energy is 7.63 kJ per mole of atoms. Its theoretical density is 7.819 g/cm³. As for the density of states at the Fermi level: 10.8 states/eV per cell.

(7)
Compound: Cd2Hg3
Source: Alexandria
Functional: PBEsol
Structure: optimized geometry

The structure belongs to space group Fdd2 (No. 43); the cell edges are 9.598, 14.577 and 6.440 Å and the angles 90.00°, 90.00° and 90.00°. The distinct sites, in fractional coordinates, are Cd at (0.027, 0.198, 0.000), Hg at (0.000, 0.000, 0.073) and Hg at (0.056, 0.101, 0.562).

For the total energy, the calculation gives -0.807 eV/atom. Its volume is 901 Å³/cell. The formation energy is 1.15 kJ per mole of atoms. Its theoretical density is 12.186 g/cm³. For the energy above the lowest structure with this stoichiometry, the calculation gives 18.1 meV per atom. As for the density of states at the Fermi level: 12.9 states/eV per cell.

(8)
Compound: YTl
Source: Alexandria
Functional: PBEsol
Structure: optimized geometry

The structure belongs to space group Pbcm (No. 57); the cell edges are 10.499, 9.253 and 6.556 Å and the angles 90.00°, 90.00° and 90.00°. The distinct sites, in fractional coordinates, are Y at (0.115, 0.250, 0.000), Y at (0.177, 0.637, 0.250), Y at (0.377, 0.038, 0.250), Tl at (0.086, 0.548, 0.750), Tl at (0.354, 0.117, 0.750) and Tl at (0.417, 0.750, 0.000).

For the total energy, the calculation gives -5.170 eV/atom. Its volume is 637 Å³/cell. The formation energy is -42.82 kJ per mole of atoms. Its theoretical density is 9.176 g/cm³. As for the density of states at the Fermi level: 21.2 states/eV per cell.

(9)
Compound: ZnCoRu
Source: Alexandria
Functional: PBEsol
Structure: optimized geometry

The structure belongs to space group P-6m2 (No. 187); the cell edges are 4.0997, 4.0997 and 2.5226 Å and the angles 90.00°, 90.00° and 120.00°. The distinct sites, in fractional coordinates, are Zn at (0.0000, 0.0000, 0.0000), Co at (0.3333, 0.6667, 0.0000) and Ru at (0.6667, 0.3333, 0.5000).

For the total energy, the calculation gives -6.305 eV/atom. Its volume is 37 Å³/cell. The formation energy is 18.51 kJ per mole of atoms. Its theoretical density is 10.194 g/cm³. For the energy above the lowest structure with this stoichiometry, the calculation gives 0.0 meV per atom. As for the density of states at the Fermi level: 2.8 states/eV per cell.

(10)
Compound: FeNi2Ir
Source: Alexandria
Functional: PBEsol
Structure: optimized geometry

The structure belongs to space group I4/mmm (No. 139); the cell edges are 3.575, 3.575 and 7.306 Å and the angles 90.00°, 90.00° and 90.00°. The distinct sites, in fractional coordinates, are Fe at (0.000, 0.000, 0.000), Ni at (0.000, 0.500, 0.250) and Ir at (0.000, 0.000, 0.500).

For the total energy, the calculation gives -7.782 eV/atom. Its volume is 93 Å³/cell. The formation energy is -0.61 kJ per mole of atoms. Its theoretical density is 13.001 g/cm³. As for the density of states at the Fermi level: 10.0 states/eV per cell.

(11)
Compound: ZnNiHg2
Source: Alexandria
Functional: PBEsol
Structure: optimized geometry

The structure belongs to space group I4/mmm (No. 139); the cell edges are 4.455, 4.455 and 6.462 Å and the angles 90.00°, 90.00° and 90.00°. The distinct sites, in fractional coordinates, are Zn at (0.000, 0.000, 0.000), Ni at (0.000, 0.000, 0.500) and Hg at (0.000, 0.500, 0.250).

For the total energy, the calculation gives -2.084 eV/atom. Its volume is 128 Å³/cell. The formation energy is 13.00 kJ per mole of atoms. Its theoretical density is 13.605 g/cm³. As for the density of states at the Fermi level: 3.4 states/eV per cell.

(12)
Compound: TlIr3Os
Source: Alexandria
Functional: PBEsol
Structure: optimized geometry

The structure belongs to space group Pm-3m (No. 221); the cell edges are 4.796, 4.796 and 4.796 Å and the angles 90.00°, 90.00° and 90.00°. The distinct sites, in fractional coordinates, are Tl at (0.000, 0.000, 0.000), Ir at (0.000, 0.000, 0.500) and Os at (0.500, 0.500, 0.500).

For the total energy, the calculation gives -5.539 eV/atom. Its volume is 110 Å³/cell. The formation energy is 320.71 kJ per mole of atoms. Its theoretical density is 14.616 g/cm³. As for the density of states at the Fermi level: 6.2 states/eV per cell.